Entry 1:
Computed, not measured: a relaxed structure of MgSi2Sb at the GGA-PBE level of DFT.

a = 4.1090 Å, b = 3.7184 Å, c = 5.7811 Å
α = 90.00°, β = 110.17°, γ = 90.00°
With the nearest neighbours (Å) after each atom.
Space group Pm (No. 6)
Symmetry-distinct sites (fractional):
Mg (0.0000, 0.0000, 0.0000) (multiplicity 1)  6 Si 2.84-3.06
Si (0.5545, 0.5000, 0.1574) (multiplicity 1)  2 Si 2.43, 1 Sb 2.72
Si (0.7791, 0.0000, 0.4382) (multiplicity 1)  2 Si 2.43
Sb (0.3770, 0.5000, 0.6592) (multiplicity 1)  3 Si 2.72-2.99

- energy relative to the lowest polymorph listed for this composition (kcal/mol of atoms) = 1.705
- uncorrected formation energy (eV per atom) = 0.22


Entry 2:
Computed, not measured: a relaxed structure of MgSiSb at the GGA-PBE level of DFT.

a = 3.3757 Å, b = 3.3757 Å, c = 11.1459 Å
α = 90.00°, β = 90.00°, γ = 90.00°
With the nearest neighbours (Å) after each atom.
Space group I4mm (No. 107)
Symmetry-distinct sites (fractional):
Mg (0.0000, 0.0000, 0.0000) (multiplicity 2)  4 Si 2.86
Si (0.0000, 0.0000, 0.6414) (multiplicity 2)  4 Mg 2.86, 4 Sb 3.00
Sb (0.0000, 0.0000, 0.3044) (multiplicity 2)  4 Si 3.00, 4 Mg 3.23

- energy relative to the lowest polymorph listed for this composition (kcal/mol of atoms) = 4.335
- uncorrected formation energy (eV per atom) = 0.19


Entry 3:
Computed, not measured: a relaxed structure of MgSi2Sb at the GGA-PBE level of DFT.

a = 3.0350 Å, b = 4.0377 Å, c = 6.6464 Å
α = 90.00°, β = 90.15°, γ = 90.00°
With the nearest neighbours (Å) after each atom.
Space group P2/m (No. 10)
Symmetry-distinct sites (fractional):
Mg (0.0000, 0.0000, 0.0000) (multiplicity 1)  8 Si 2.83, 2 Mg 3.04
Si (0.4985, 0.5000, 0.8077) (multiplicity 2)  1 Si 2.56, 4 Mg 2.83
Sb (0.5000, 0.0000, 0.5000) (multiplicity 1)  4 Si 2.87, 2 Sb 3.04

- energy relative to the lowest polymorph listed for this composition (kcal/mol of atoms) = 1.907
- uncorrected formation energy (eV per atom) = 0.23


Entry 4:
Computed, not measured: a relaxed structure of MgSiSb at the GGA-PBE level of DFT.

a = 3.6918 Å, b = 4.5656 Å, c = 8.8206 Å
α = 92.72°, β = 101.03°, γ = 90.45°
With the nearest neighbours (Å) after each atom.
Space group P1 (No. 1)
Symmetry-distinct sites (fractional):
Mg (0.0000, 0.0000, 0.0000) (multiplicity 1)  5 Si 2.79-3.10, 2 Sb 3.09-3.11
Mg (0.1759, 0.8194, 0.3455) (multiplicity 1)  6 Sb 3.00-3.15, 1 Mg 3.14
Si (0.4734, 0.5409, 0.9557) (multiplicity 1)  2 Si 2.39
Si (0.8948, 0.4394, 0.7865) (multiplicity 1)  2 Si 2.39
Sb (0.6174, 0.3232, 0.2402) (multiplicity 1)  1 Si 2.70, 1 Mg 3.02
Sb (0.8095, 0.9248, 0.6188) (multiplicity 1)  2 Si 2.70-2.71, 1 Mg 3.00

- energy relative to the lowest polymorph listed for this composition (kcal/mol of atoms) = 1.012
- uncorrected formation energy (eV per atom) = 0.04


Entry 5:
Computed, not measured: a relaxed structure of MgSiSb at the GGA-PBE level of DFT.

a = 9.7786 Å, b = 4.6340 Å, c = 7.1572 Å
α = 90.00°, β = 117.65°, γ = 90.00°
With the nearest neighbours (Å) after each atom.
Space group Cm (No. 8)
Symmetry-distinct sites (fractional):
Mg (0.0000, 0.0000, 0.0000) (multiplicity 2)  1 Si 2.78, 5 Sb 2.99-3.05
Mg (0.1345, 0.0000, 0.6160) (multiplicity 2)  6 Si 2.86-3.10, 4 Sb 3.10-3.15
Si (0.3215, 0.5000, 0.5633) (multiplicity 2)  2 Si 2.47, 1 Sb 2.64
Si (0.4101, 0.0000, 0.5705) (multiplicity 2)  2 Si 2.47, 1 Sb 2.64
Sb (0.0275, 0.5000, 0.2785) (multiplicity 2)  2 Si 2.64-2.81
Sb (0.1715, 0.5000, 0.9247) (multiplicity 2)  1 Si 2.64

- energy relative to the lowest polymorph listed for this composition (kcal/mol of atoms) = 0.896
- uncorrected formation energy (eV per atom) = 0.04


Entry 6:
Computed, not measured: a relaxed structure of MgSi2Sb at the GGA-PBE level of DFT.

a = 9.3529 Å, b = 3.6148 Å, c = 5.6793 Å
α = 90.00°, β = 116.10°, γ = 90.00°
With the nearest neighbours (Å) after each atom.
Space group C2/m (No. 12)
Symmetry-distinct sites (fractional):
Mg (0.0000, 0.0000, 0.0000) (multiplicity 2)  6 Si 2.76-2.84
Si (0.2407, 0.0000, 0.8431) (multiplicity 4)  2 Si 2.49, 1 Mg 2.76
Sb (0.0000, 0.5000, 0.5000) (multiplicity 2)  4 Si 2.88

- energy relative to the lowest polymorph listed for this composition (kcal/mol of atoms) = 2.478
- uncorrected formation energy (eV per atom) = 0.25


Entry 7:
Computed, not measured: a relaxed structure of MgSiSb at the GGA-PBE level of DFT.

a = 14.2112 Å, b = 3.8478 Å, c = 5.1322 Å
α = 90.00°, β = 96.80°, γ = 90.00°
With the nearest neighbours (Å) after each atom.
Space group C2/m (No. 12)
Symmetry-distinct sites (fractional):
Mg (0.1597, 0.0000, 0.0774) (multiplicity 4)  4 Si 2.69-2.98, 2 Sb 2.97
Si (0.2168, 0.0000, 0.5968) (multiplicity 4)  2 Si 2.41, 2 Mg 2.69
Sb (0.0000, 0.0000, 0.5000) (multiplicity 2)  2 Si 3.06, 4 Sb 3.21, 2 Mg 3.32
Sb (0.0000, 0.5000, 0.0000) (multiplicity 2)  4 Mg 2.97, 4 Sb 3.21

- energy relative to the lowest polymorph listed for this composition (kcal/mol of atoms) = 0.116
- uncorrected formation energy (eV per atom) = 0.00


Entry 8:
Computed, not measured: a relaxed structure of MgSiSb at the GGA-PBE level of DFT.

a = 4.0178 Å, b = 5.7092 Å, c = 6.7514 Å
α = 72.00°, β = 88.76°, γ = 76.65°
With the nearest neighbours (Å) after each atom.
Space group P1 (No. 1)
Symmetry-distinct sites (fractional):
Mg (0.0000, 0.0000, 0.0000) (multiplicity 1)  1 Si 2.73, 1 Sb 2.96
Mg (0.0832, 0.6495, 0.6846) (multiplicity 1)  3 Si 2.89-2.99, 4 Sb 2.89-3.08
Si (0.1239, 0.1847, 0.5892) (multiplicity 1)  2 Si 2.39-2.45
Si (0.5673, 0.4019, 0.4270) (multiplicity 1)  2 Si 2.39-2.45, 1 Sb 2.66
Sb (0.4885, 0.9124, 0.3527) (multiplicity 1)  2 Si 2.74, 2 Mg 2.96-2.97
Sb (0.6216, 0.5330, 0.0163) (multiplicity 1)  1 Si 2.66, 2 Mg 2.89-2.96

- energy relative to the lowest polymorph listed for this composition (kcal/mol of atoms) = 1.299
- uncorrected formation energy (eV per atom) = 0.05


Entry 9:
Computed, not measured: a relaxed structure of MgSi2Sb at the GGA-PBE level of DFT.

a = 10.2270 Å, b = 3.5737 Å, c = 4.7629 Å
α = 90.00°, β = 113.26°, γ = 90.00°
With the nearest neighbours (Å) after each atom.
Space group Cm (No. 8)
Symmetry-distinct sites (fractional):
Mg (0.0000, 0.0000, 0.0000) (multiplicity 2)  7 Si 2.91-3.12, 2 Sb 3.05-3.09
Si (0.2722, 0.5000, 0.2198) (multiplicity 2)  2 Si 2.46
Si (0.4429, 0.0000, 0.4773) (multiplicity 2)  2 Si 2.46
Sb (0.2064, 0.0000, 0.6692) (multiplicity 2)  7 Si 2.90-3.06, 2 Mg 3.05-3.09

- energy relative to the lowest polymorph listed for this composition (kcal/mol of atoms) = 2.081
- uncorrected formation energy (eV per atom) = 0.24


Entry 10:
Computed, not measured: a relaxed structure of Mg4SiSb at the GGA-PBE level of DFT.

a = 8.1118 Å, b = 8.1118 Å, c = 8.1118 Å
α = 90.00°, β = 90.00°, γ = 90.00°
With the nearest neighbours (Å) after each atom.
Space group F-43m (No. 216)
Symmetry-distinct sites (fractional):
Mg (0.1253, 0.1253, 0.1253) (multiplicity 16)  6 Mg 2.86-2.88
Si (0.0000, 0.0000, 0.5000) (multiplicity 4)  12 Mg 3.36, 4 Sb 3.51
Sb (0.2500, 0.2500, 0.7500) (multiplicity 4)  12 Mg 3.36, 4 Si 3.51

- uncorrected formation energy (eV per atom) = 0.22


Entry 11:
Computed, not measured: a relaxed structure of MgSiSb at the GGA-PBE level of DFT.

a = 4.9506 Å, b = 4.9506 Å, c = 3.1023 Å
α = 90.00°, β = 90.00°, γ = 120.00°
With the nearest neighbours (Å) after each atom.
Space group P3m1 (No. 156)
Symmetry-distinct sites (fractional):
Mg (0.0000, 0.0000, 0.0000) (multiplicity 1)  2 Mg 3.10, 6 Sb 3.25-3.26, 6 Si 3.25-3.26
Si (0.3333, 0.6667, 0.4965) (multiplicity 1)  3 Sb 2.86, 2 Si 3.10
Sb (0.6667, 0.3333, 0.4961) (multiplicity 1)  3 Si 2.86, 2 Sb 3.10

- energy relative to the lowest polymorph listed for this composition (kcal/mol of atoms) = 5.368
- uncorrected formation energy (eV per atom) = 0.23


Entry 12:
Computed, not measured: a relaxed structure of MgSiSb at the GGA-PBE level of DFT.

a = 7.1630 Å, b = 12.7817 Å, c = 3.4708 Å
α = 90.00°, β = 90.16°, γ = 90.00°
With the nearest neighbours (Å) after each atom.
Space group Cm (No. 8)
Symmetry-distinct sites (fractional):
Mg (0.0000, 0.1670, 0.0000) (multiplicity 4)  1 Si 2.64
Si (0.2166, 0.0000, 0.9908) (multiplicity 2)  2 Si 2.34
Si (0.4352, 0.0000, 0.4920) (multiplicity 2)  2 Si 2.34
Sb (0.1591, 0.3379, 0.4962) (multiplicity 4)  1 Si 2.62

- energy relative to the lowest polymorph listed for this composition (kcal/mol of atoms) = 0.730
- uncorrected formation energy (eV per atom) = 0.03


Entry 13:
Computed, not measured: a relaxed structure of MgSiSb at the GGA-PBE level of DFT.

a = 3.6573 Å, b = 5.7663 Å, c = 7.1891 Å
α = 95.66°, β = 104.30°, γ = 107.61°
With the nearest neighbours (Å) after each atom.
Space group P1 (No. 1)
Symmetry-distinct sites (fractional):
Mg (0.0000, 0.0000, 0.0000) (multiplicity 1)  1 Si 2.72, 1 Sb 3.02
Mg (0.4516, 0.6127, 0.2995) (multiplicity 1)  4 Sb 2.98-3.07, 3 Si 3.00-3.29
Si (0.2624, 0.1032, 0.3971) (multiplicity 1)  2 Si 2.40
Si (0.9477, 0.2893, 0.5952) (multiplicity 1)  2 Si 2.40, 1 Sb 2.68
Sb (0.2111, 0.7857, 0.6510) (multiplicity 1)  2 Si 2.68-2.71
Sb (0.7010, 0.4332, 0.9639) (multiplicity 1)  5 Mg 2.98-3.08, 2 Si 3.12-3.14

- energy relative to the lowest polymorph listed for this composition (kcal/mol of atoms) = 2.052
- uncorrected formation energy (eV per atom) = 0.09


Entry 14:
Computed, not measured: a relaxed structure of MgSiSb at the GGA-PBE level of DFT.

a = 3.8012 Å, b = 3.8012 Å, c = 34.2078 Å
α = 90.00°, β = 90.00°, γ = 120.00°
With the nearest neighbours (Å) after each atom.
Space group R3m (No. 160, hexagonal axes)
Symmetry-distinct sites (fractional):
Mg (0.0000, 0.0000, 0.0000) (multiplicity 3)  6 Sb 2.92-2.95
Mg (0.0000, 0.0000, 0.1160) (multiplicity 3)  4 Si 2.90-2.96, 3 Sb 2.97
Si (0.0000, 0.0000, 0.2008) (multiplicity 3)  3 Si 2.38, 1 Sb 2.61
Si (0.0000, 0.0000, 0.5072) (multiplicity 3)  3 Si 2.38
Sb (0.0000, 0.0000, 0.2771) (multiplicity 3)  1 Si 2.61, 3 Mg 2.92
Sb (0.0000, 0.0000, 0.7243) (multiplicity 3)  6 Mg 2.95-2.97

- energy relative to the lowest polymorph listed for this composition (kcal/mol of atoms) = 0.038
- uncorrected formation energy (eV per atom) = 0.00


Entry 15:
Computed, not measured: a relaxed structure of MgSiSb at the GGA-PBE level of DFT.

a = 5.3732 Å, b = 4.2799 Å, c = 6.3363 Å
α = 90.00°, β = 109.07°, γ = 90.00°
With the nearest neighbours (Å) after each atom.
Space group P2_1/m (No. 11)
Symmetry-distinct sites (fractional):
Mg (0.1755, 0.2500, 0.1778) (multiplicity 2)  4 Si 2.77-2.94, 2 Sb 2.93
Si (0.3698, 0.7500, 0.9544) (multiplicity 2)  2 Si 2.52, 1 Sb 2.69, 1 Mg 2.77
Sb (0.2364, 0.7500, 0.5064) (multiplicity 2)  1 Si 2.69, 2 Mg 2.93

- energy relative to the lowest polymorph listed for this composition (kcal/mol of atoms) = 1.278
- uncorrected formation energy (eV per atom) = 0.05


Entry 16:
Computed, not measured: a relaxed structure of MgSiSb at the GGA-PBE level of DFT.

a = 6.6945 Å, b = 6.6945 Å, c = 6.6945 Å
α = 90.00°, β = 90.00°, γ = 90.00°
With the nearest neighbours (Å) after each atom.
Space group F-43m (No. 216)
Symmetry-distinct sites (fractional):
Mg (0.0000, 0.0000, 0.0000) (multiplicity 4)  4 Si 2.90
Si (0.2500, 0.2500, 0.7500) (multiplicity 4)  4 Mg 2.90, 4 Sb 2.90
Sb (0.0000, 0.0000, 0.5000) (multiplicity 4)  4 Si 2.90

- energy relative to the lowest polymorph listed for this composition (kcal/mol of atoms) = 5.573
- uncorrected formation energy (eV per atom) = 0.24


Entry 17:
Computed, not measured: a relaxed structure of Mg14SiSb at the GGA-PBE level of DFT.

a = 6.4024 Å, b = 6.4024 Å, c = 9.9719 Å
α = 90.00°, β = 90.00°, γ = 120.00°
With the nearest neighbours (Å) after each atom.
Space group P-6m2 (No. 187)
Symmetry-distinct sites (fractional):
Mg (0.0000, 0.0000, 0.2490) (multiplicity 2)  12 Mg 3.10-3.20
Mg (0.3284, 0.1642, 0.5000) (multiplicity 3)  10 Mg 3.03-3.25, 2 Si 3.20
Mg (0.3356, 0.1678, 0.0000) (multiplicity 3)  10 Mg 3.10-3.22, 2 Sb 3.20
Mg (0.5004, 0.0008, 0.2595) (multiplicity 6)  1 Si 3.03, 10 Mg 3.03-3.21, 1 Sb 3.18
Si (0.3333, 0.6667, 0.5000) (multiplicity 1)  12 Mg 3.03-3.20
Sb (0.3333, 0.6667, 0.0000) (multiplicity 1)  12 Mg 3.18-3.20

- energy relative to the lowest polymorph listed for this composition (kcal/mol of atoms) = 0.000
- uncorrected formation energy (eV per atom) = -0.01


Entry 18:
Computed, not measured: a relaxed structure of Mg3SiSb at the GGA-PBE level of DFT.

a = 5.2845 Å, b = 5.2845 Å, c = 5.2845 Å
α = 90.00°, β = 90.00°, γ = 90.00°
With the nearest neighbours (Å) after each atom.
Space group Pm-3m (No. 221)
Symmetry-distinct sites (fractional):
Mg (0.0000, 0.0000, 0.5000) (multiplicity 3)  2 Sb 2.64
Si (0.5000, 0.5000, 0.5000) (multiplicity 1)  12 Mg 3.74
Sb (0.0000, 0.0000, 0.0000) (multiplicity 1)  6 Mg 2.64

- energy relative to the lowest polymorph listed for this composition (kcal/mol of atoms) = 12.191
- uncorrected formation energy (eV per atom) = 0.59


Entry 19:
Computed, not measured: a relaxed structure of MgSi3Sb at the GGA-PBE level of DFT.

a = 4.9153 Å, b = 4.9153 Å, c = 4.9153 Å
α = 90.00°, β = 90.00°, γ = 90.00°
With the nearest neighbours (Å) after each atom.
Space group Pm-3m (No. 221)
Symmetry-distinct sites (fractional):
Mg (0.0000, 0.0000, 0.0000) (multiplicity 1)  6 Si 2.46
Si (0.0000, 0.0000, 0.5000) (multiplicity 3)  2 Mg 2.46
Sb (0.5000, 0.5000, 0.5000) (multiplicity 1)  12 Si 3.48

- energy relative to the lowest polymorph listed for this composition (kcal/mol of atoms) = 0.000
- uncorrected formation energy (eV per atom) = 1.06


Entry 20:
Computed, not measured: a relaxed structure of MgSiSb at the GGA-PBE level of DFT.

a = 4.0220 Å, b = 5.7778 Å, c = 7.0292 Å
α = 75.54°, β = 74.38°, γ = 69.81°
With the nearest neighbours (Å) after each atom.
Space group P1 (No. 1)
Symmetry-distinct sites (fractional):
Mg (0.0000, 0.0000, 0.0000) (multiplicity 1)  1 Si 2.80, 5 Sb 2.99-3.11
Mg (0.2323, 0.2570, 0.3102) (multiplicity 1)  4 Si 2.81-3.09, 3 Sb 2.97-3.10
Si (0.5202, 0.6225, 0.4261) (multiplicity 1)  2 Si 2.42-2.43, 2 Sb 2.67-2.70
Si (0.9000, 0.8744, 0.4183) (multiplicity 1)  2 Si 2.42-2.43, 1 Sb 2.63
Sb (0.5667, 0.1803, 0.6784) (multiplicity 1)  2 Si 2.63-2.70
Sb (0.6941, 0.5614, 0.0431) (multiplicity 1)  1 Si 2.67, 1 Mg 2.97

- energy relative to the lowest polymorph listed for this composition (kcal/mol of atoms) = 0.861
- uncorrected formation energy (eV per atom) = 0.04